--- one ---
Compound: La4Se3
Source: the Alexandria database
Functional: PBE
Structure: relaxed

Geometry as CIF:
```
data_La4Se3
_symmetry_space_group_name_H-M 'P 6/m m m'
_symmetry_Int_Tables_number 191
_symmetry_space_group_name_Hall '-P 6 2'
_cell_length_a 6.6367
_cell_length_b 6.6367
_cell_length_c 5.3145
_cell_angle_alpha 90.00
_cell_angle_beta 90.00
_cell_angle_gamma 120.00
loop_
_atom_site_label
_atom_site_type_symbol
_atom_site_fract_x
_atom_site_fract_y
_atom_site_fract_z
La1 La 0.0000 0.0000 0.2490
La2 La 0.3333 0.6667 0.0000
Se1 Se 0.0000 0.5000 0.5000
```

Properties
Mass density in g/cm3: 6.5
Spin magnetization in μB/atom: 0.00

--- two ---
Compound: La4Se3
Source: the Alexandria database
Functional: PBE
Structure: relaxed

Geometry as CIF:
```
data_La4Se3
_symmetry_space_group_name_H-M 'R -3 m'
_symmetry_Int_Tables_number 166
_symmetry_space_group_name_Hall '-R 3 2"'
_cell_length_a 4.2408
_cell_length_b 4.2408
_cell_length_c 41.9993
_cell_angle_alpha 90.00
_cell_angle_beta 90.00
_cell_angle_gamma 120.00
loop_
_atom_site_label
_atom_site_type_symbol
_atom_site_fract_x
_atom_site_fract_y
_atom_site_fract_z
La1 La 0.0000 0.0000 0.1225
La2 La 0.0000 0.0000 0.3722
Se1 Se 0.0000 0.0000 0.2524
Se2 Se 0.0000 0.0000 0.5000
```

Properties
Mass density in g/cm3: 6.0
Spin magnetization in μB/atom: 0.00

What should be chosen as the most stable of them? Choose two.

--- one ---
Compound: LaSi3Se
Source: the Alexandria database
Functional: PBE
Structure: relaxed

Geometry as CIF:
```
data_LaSi3Se
_symmetry_space_group_name_H-M 'P m -3 m'
_symmetry_Int_Tables_number 221
_symmetry_space_group_name_Hall '-P 4 2 3'
_cell_length_a 4.9255
_cell_length_b 4.9255
_cell_length_c 4.9255
_cell_angle_alpha 90.00
_cell_angle_beta 90.00
_cell_angle_gamma 90.00
loop_
_atom_site_label
_atom_site_type_symbol
_atom_site_fract_x
_atom_site_fract_y
_atom_site_fract_z
La1 La 0.0000 0.0000 0.0000
Si1 Si 0.0000 0.5000 0.5000
Se1 Se 0.5000 0.5000 0.5000
```

Properties
Mass density in g/cm3: 4.2
Spin magnetization in μB/atom: 0.00

--- two ---
Compound: LaSi3Se
Source: the Alexandria database
Functional: PBE
Structure: relaxed

Geometry as CIF:
```
data_LaSi3Se
_symmetry_space_group_name_H-M 'P m -3 m'
_symmetry_Int_Tables_number 221
_symmetry_space_group_name_Hall '-P 4 2 3'
_cell_length_a 5.5758
_cell_length_b 5.5758
_cell_length_c 5.5758
_cell_angle_alpha 90.00
_cell_angle_beta 90.00
_cell_angle_gamma 90.00
loop_
_atom_site_label
_atom_site_type_symbol
_atom_site_fract_x
_atom_site_fract_y
_atom_site_fract_z
La1 La 0.0000 0.0000 0.0000
Si1 Si 0.0000 0.0000 0.5000
Se1 Se 0.5000 0.5000 0.5000
```

Properties
Mass density in g/cm3: 2.9
Spin magnetization in μB/atom: 0.00

What should be chosen as the most stable of them? Choose one.

--- one ---
Compound: LaSmSe2
Source: the Alexandria database
Functional: PBE
Structure: relaxed

Geometry as CIF:
```
data_LaSmSe2
_symmetry_space_group_name_H-M 'P 63/m m c'
_symmetry_Int_Tables_number 194
_symmetry_space_group_name_Hall '-P 6c 2c'
_cell_length_a 4.1879
_cell_length_b 4.1879
_cell_length_c 14.2552
_cell_angle_alpha 90.00
_cell_angle_beta 90.00
_cell_angle_gamma 120.00
loop_
_atom_site_label
_atom_site_type_symbol
_atom_site_fract_x
_atom_site_fract_y
_atom_site_fract_z
La1 La 0.3333 0.6667 0.2500
Sm1 Sm 0.0000 0.0000 0.0000
Se1 Se 0.3333 0.6667 0.6188
```

Properties
Mass density in g/cm3: 6.9
Spin magnetization in μB/atom: 0.00

--- two ---
Compound: LaSmSe2
Source: the Alexandria database
Functional: PBE
Structure: relaxed

Geometry as CIF:
```
data_LaSmSe2
_symmetry_space_group_name_H-M 'R -3 m'
_symmetry_Int_Tables_number 166
_symmetry_space_group_name_Hall '-R 3 2"'
_cell_length_a 4.2443
_cell_length_b 4.2443
_cell_length_c 20.7608
_cell_angle_alpha 90.00
_cell_angle_beta 90.00
_cell_angle_gamma 120.00
loop_
_atom_site_label
_atom_site_type_symbol
_atom_site_fract_x
_atom_site_fract_y
_atom_site_fract_z
La1 La 0.0000 0.0000 0.0000
Sm1 Sm 0.0000 0.0000 0.5000
Se1 Se 0.0000 0.0000 0.2467
```

Properties
Mass density in g/cm3: 6.9
Spin magnetization in μB/atom: 0.00

--- three ---
Compound: LaSmSe2
Source: the Alexandria database
Functional: PBE
Structure: relaxed

Geometry as CIF:
```
data_LaSmSe2
_symmetry_space_group_name_H-M 'P -3 m 1'
_symmetry_Int_Tables_number 164
_symmetry_space_group_name_Hall '-P 3 2"'
_cell_length_a 4.1081
_cell_length_b 4.1081
_cell_length_c 7.5708
_cell_angle_alpha 90.00
_cell_angle_beta 90.00
_cell_angle_gamma 120.00
loop_
_atom_site_label
_atom_site_type_symbol
_atom_site_fract_x
_atom_site_fract_y
_atom_site_fract_z
La1 La 0.0000 0.0000 0.0000
Sm1 Sm 0.0000 0.0000 0.5000
Se1 Se 0.3333 0.6667 0.7387
```

Properties
Mass density in g/cm3: 6.7
Spin magnetization in μB/atom: 0.00

--- four ---
Compound: LaSmSe2
Source: the Alexandria database
Functional: PBE
Structure: relaxed

Geometry as CIF:
```
data_LaSmSe2
_symmetry_space_group_name_H-M 'R 3 m'
_symmetry_Int_Tables_number 160
_symmetry_space_group_name_Hall 'R 3 -2"'
_cell_length_a 4.1374
_cell_length_b 4.1374
_cell_length_c 22.1486
_cell_angle_alpha 90.00
_cell_angle_beta 90.00
_cell_angle_gamma 120.00
loop_
_atom_site_label
_atom_site_type_symbol
_atom_site_fract_x
_atom_site_fract_y
_atom_site_fract_z
La1 La 0.0000 0.0000 0.0000
Sm1 Sm 0.0000 0.0000 0.8226
Se1 Se 0.0000 0.0000 0.4132
Se2 Se 0.0000 0.0000 0.5758
```

Properties
Mass density in g/cm3: 6.8
Spin magnetization in μB/atom: 0.00

What should be chosen as the most stable of them? Choose two.

--- one ---
Compound: La4SmSe5
Source: the Alexandria database
Functional: PBE
Structure: relaxed

Geometry as CIF:
```
data_La4SmSe5
_symmetry_space_group_name_H-M 'I 4/m m m'
_symmetry_Int_Tables_number 139
_symmetry_space_group_name_Hall '-I 4 2'
_cell_length_a 4.2850
_cell_length_b 4.2850
_cell_length_c 30.3500
_cell_angle_alpha 90.00
_cell_angle_beta 90.00
_cell_angle_gamma 90.00
loop_
_atom_site_label
_atom_site_type_symbol
_atom_site_fract_x
_atom_site_fract_y
_atom_site_fract_z
La1 La 0.0000 0.0000 0.0993
La2 La 0.0000 0.0000 0.3004
Sm1 Sm 0.0000 0.0000 0.5000
Se1 Se 0.0000 0.0000 0.0000
Se2 Se 0.0000 0.0000 0.1999
Se3 Se 0.0000 0.0000 0.4019
```

Properties
Mass density in g/cm3: 6.6
Spin magnetization in μB/atom: 0.00

--- two ---
Compound: La4SmSe5
Source: the Alexandria database
Functional: PBE
Structure: relaxed

Geometry as CIF:
```
data_La4SmSe5
_symmetry_space_group_name_H-M 'I 4/m'
_symmetry_Int_Tables_number 87
_symmetry_space_group_name_Hall '-I 4'
_cell_length_a 9.5760
_cell_length_b 9.5760
_cell_length_c 6.0698
_cell_angle_alpha 90.00
_cell_angle_beta 90.00
_cell_angle_gamma 90.00
loop_
_atom_site_label
_atom_site_type_symbol
_atom_site_fract_x
_atom_site_fract_y
_atom_site_fract_z
La1 La 0.0987 0.3008 0.0000
Sm1 Sm 0.0000 0.0000 0.5000
Se1 Se 0.0000 0.0000 0.0000
Se2 Se 0.0993 0.2947 0.5000
```

Properties
Mass density in g/cm3: 6.6
Spin magnetization in μB/atom: 0.00

What should be chosen as the most stable of them? Choose two.

--- one ---
Compound: LaSmSe
Source: the Alexandria database
Functional: PBE
Structure: relaxed

Geometry as CIF:
```
data_LaSmSe
_symmetry_space_group_name_H-M 'C m c e'
_symmetry_Int_Tables_number 64
_symmetry_space_group_name_Hall '-C 2ac 2'
_cell_length_a 8.8578
_cell_length_b 11.1634
_cell_length_c 7.7549
_cell_angle_alpha 90.00
_cell_angle_beta 90.00
_cell_angle_gamma 90.00
loop_
_atom_site_label
_atom_site_type_symbol
_atom_site_fract_x
_atom_site_fract_y
_atom_site_fract_z
La1 La 0.2047 0.0000 0.0000
Sm1 Sm 0.0000 0.2018 0.3363
Se1 Se 0.0000 0.0635 0.6971
```

Properties
Mass density in g/cm3: 6.4
Spin magnetization in μB/atom: 0.00

--- two ---
Compound: LaSmSe
Source: the Alexandria database
Functional: PBE
Structure: relaxed

Geometry as CIF:
```
data_LaSmSe
_symmetry_space_group_name_H-M 'P 3 m 1'
_symmetry_Int_Tables_number 156
_cell_length_a 4.0489
_cell_length_b 4.0489
_cell_length_c 6.8076
_cell_angle_alpha 90.00
_cell_angle_beta 90.00
_cell_angle_gamma 120.00
loop_
_symmetry_equiv_pos_as_xyz
'x,y,z'
'-y,x-y,z'
'-x+y,-x,z'
'-y,-x,z'
'-x+y,y,z'
'x,x-y,z'
loop_
_atom_site_label
_atom_site_type_symbol
_atom_site_fract_x
_atom_site_fract_y
_atom_site_fract_z
La1 La 0.0000 0.0000 0.0000
Sm1 Sm 0.6667 0.3333 0.5476
Se1 Se 0.3333 0.6667 0.2834
```

Properties
Mass density in g/cm3: 6.3
Spin magnetization in μB/atom: 0.48

What should be chosen as the most stable of them? Choose two.

--- one ---
Compound: La3SmSe6
Source: the Alexandria database
Functional: PBE
Structure: relaxed

Geometry as CIF:
```
data_La3SmSe6
_symmetry_space_group_name_H-M 'R -3'
_symmetry_Int_Tables_number 148
_symmetry_space_group_name_Hall '-R 3'
_cell_length_a 12.5267
_cell_length_b 12.5267
_cell_length_c 14.8088
_cell_angle_alpha 90.00
_cell_angle_beta 90.00
_cell_angle_gamma 120.00
loop_
_atom_site_label
_atom_site_type_symbol
_atom_site_fract_x
_atom_site_fract_y
_atom_site_fract_z
La1 La 0.0496 0.2706 0.2020
Sm1 Sm 0.0000 0.0000 0.0000
Sm2 Sm 0.0000 0.0000 0.5000
Se1 Se 0.0226 0.2116 0.3994
Se2 Se 0.0320 0.1929 0.8774
```

Properties
Mass density in g/cm3: 5.2
Spin magnetization in μB/atom: 0.00

--- two ---
Compound: La3SmSe6
Source: the Alexandria database
Functional: PBE
Structure: relaxed

Geometry as CIF:
```
data_La3SmSe6
_symmetry_space_group_name_H-M 'C 1 2/m 1'
_symmetry_Int_Tables_number 12
_cell_length_a 13.3371
_cell_length_b 7.7972
_cell_length_c 7.4982
_cell_angle_alpha 90.00
_cell_angle_beta 123.09
_cell_angle_gamma 90.00
loop_
_symmetry_equiv_pos_as_xyz
'x,y,z'
'-x,-y,-z'
'-x,y,-z'
'x,-y,z'
'x+1/2,y+1/2,z'
'-x+1/2,-y+1/2,-z'
'-x+1/2,y+1/2,-z'
'x+1/2,-y+1/2,z'
loop_
_atom_site_label
_atom_site_type_symbol
_atom_site_fract_x
_atom_site_fract_y
_atom_site_fract_z
La1 La 0.0000 0.0000 0.0000
La2 La 0.2496 0.0000 0.6988
Sm1 Sm 0.0000 0.5000 0.5000
Se1 Se 0.0901 0.2507 0.3439
Se2 Se 0.2447 0.5000 0.9027
```

Properties
Mass density in g/cm3: 5.3
Spin magnetization in μB/atom: 0.00

What should be chosen as the most stable of them? Choose one.

--- one ---
Compound: La2SmSe3
Source: the Alexandria database
Functional: PBE
Structure: relaxed

Geometry as CIF:
```
data_La2SmSe3
_symmetry_space_group_name_H-M 'F d d d'
_symmetry_Int_Tables_number 70
_cell_length_a 8.5921
_cell_length_b 12.0700
_cell_length_c 25.4121
_cell_angle_alpha 90.00
_cell_angle_beta 90.00
_cell_angle_gamma 90.00
loop_
_symmetry_equiv_pos_as_xyz
'x,y,z'
'-x,-y,-z'
'-x+1/4,-y+1/4,z'
'x+1/4,y+1/4,-z'
'x,-y+1/4,-z+1/4'
'-x,y+1/4,z+1/4'
'-x+1/4,y,-z+1/4'
'x+1/4,-y,z+1/4'
'x,y+1/2,z+1/2'
'-x,-y+1/2,-z+1/2'
'-x+1/4,-y+3/4,z+1/2'
'x+1/4,y+3/4,-z+1/2'
'x,-y+3/4,-z+3/4'
'-x,y+3/4,z+3/4'
'-x+1/4,y+1/2,-z+3/4'
'x+1/4,-y+1/2,z+3/4'
'x+1/2,y,z+1/2'
'-x+1/2,-y,-z+1/2'
'-x+3/4,-y+1/4,z+1/2'
'x+3/4,y+1/4,-z+1/2'
'x+1/2,-y+1/4,-z+3/4'
'-x+1/2,y+1/4,z+3/4'
'-x+3/4,y,-z+3/4'
'x+3/4,-y,z+3/4'
'x+1/2,y+1/2,z'
'-x+1/2,-y+1/2,-z'
'-x+3/4,-y+3/4,z'
'x+3/4,y+3/4,-z'
'x+1/2,-y+3/4,-z+1/4'
'-x+1/2,y+3/4,z+1/4'
'-x+3/4,y+1/2,-z+1/4'
'x+3/4,-y+1/2,z+1/4'
loop_
_atom_site_label
_atom_site_type_symbol
_atom_site_fract_x
_atom_site_fract_y
_atom_site_fract_z
La1 La 0.1250 0.1250 0.0425
La2 La 0.1250 0.1250 0.3742
Sm1 Sm 0.1250 0.1250 0.5417
Se1 Se 0.1171 0.3750 0.8750
Se2 Se 0.1211 0.3716 0.7096
```

Properties
Mass density in g/cm3: 6.7
Spin magnetization in μB/atom: 0.00

--- two ---
Compound: La2SmSe3
Source: the Alexandria database
Functional: PBE
Structure: relaxed

Geometry as CIF:
```
data_La2SmSe3
_symmetry_space_group_name_H-M 'I m m m'
_symmetry_Int_Tables_number 71
_symmetry_space_group_name_Hall '-I 2 2'
_cell_length_a 4.2654
_cell_length_b 6.0388
_cell_length_c 12.7987
_cell_angle_alpha 90.00
_cell_angle_beta 90.00
_cell_angle_gamma 90.00
loop_
_atom_site_label
_atom_site_type_symbol
_atom_site_fract_x
_atom_site_fract_y
_atom_site_fract_z
La1 La 0.0000 0.0000 0.1679
Sm1 Sm 0.0000 0.0000 0.5000
Se1 Se 0.0000 0.5000 0.1615
Se2 Se 0.0000 0.5000 0.5000
```

Properties
Mass density in g/cm3: 6.7
Spin magnetization in μB/atom: 0.00

What should be chosen as the most stable of them? Choose one.

--- one ---
Compound: La2SnSe5
Source: the Alexandria database
Functional: PBE
Structure: relaxed

Geometry as CIF:
```
data_La2SnSe5
_symmetry_space_group_name_H-M 'P b a m'
_symmetry_Int_Tables_number 55
_cell_length_a 8.2504
_cell_length_b 11.8869
_cell_length_c 4.2447
_cell_angle_alpha 90.00
_cell_angle_beta 90.00
_cell_angle_gamma 90.00
loop_
_symmetry_equiv_pos_as_xyz
'x,y,z'
'-x,-y,-z'
'-x,-y,z'
'x,y,-z'
'x+1/2,-y+1/2,-z'
'-x+1/2,y+1/2,z'
'-x+1/2,y+1/2,-z'
'x+1/2,-y+1/2,z'
loop_
_atom_site_label
_atom_site_type_symbol
_atom_site_fract_x
_atom_site_fract_y
_atom_site_fract_z
La1 La 0.0777 0.1696 0.0000
Sn1 Sn 0.0000 0.5000 0.5000
Se1 Se 0.0000 0.0000 0.5000
Se2 Se 0.1441 0.7076 0.5000
Se3 Se 0.1974 0.4330 0.0000
```

Properties
Mass density in g/cm3: 6.3
Spin magnetization in μB/atom: 0.00

--- two ---
Compound: La2SnSe5
Source: the Alexandria database
Functional: PBE
Structure: relaxed

Geometry as CIF:
```
data_La2SnSe5
_symmetry_space_group_name_H-M 'C m c m'
_symmetry_Int_Tables_number 63
_symmetry_space_group_name_Hall '-C 2c 2'
_cell_length_a 5.6629
_cell_length_b 14.7676
_cell_length_c 13.7480
_cell_angle_alpha 90.00
_cell_angle_beta 90.00
_cell_angle_gamma 90.00
loop_
_atom_site_label
_atom_site_type_symbol
_atom_site_fract_x
_atom_site_fract_y
_atom_site_fract_z
La1 La 0.0000 0.1521 0.0705
Sn1 Sn 0.0000 0.1677 0.7500
Se1 Se 0.0000 0.0437 0.6104
Se2 Se 0.0000 0.2818 0.2500
Se3 Se 0.0000 0.2923 0.5971
```

Properties
Mass density in g/cm3: 4.6
Spin magnetization in μB/atom: 0.00

What should be chosen as the most stable of them? Choose one.